A geometry-optimized Er3In3Ir2Pd structure, computed with PBE.

Lattice parameters (Å, degrees): 7.5665 7.5665 3.8474 90.00 90.00 120.00
Closest atoms and distances in Å follow each position.
Space group P-62m (No. 189)
Asymmetric unit:
Er 0.0000 0.5894 0.0000 [3 per cell]  4 Ir 2.99, 1 Pd 3.11, 6 In 3.14-3.33
In 0.0000 0.2610 0.5000 [3 per cell]  2 Pd 2.76, 2 Ir 2.84
Ir 0.3333 0.6667 0.5000 [2 per cell]  3 In 2.84, 6 Er 2.99
Pd 0.0000 0.0000 0.0000 [1 per cell]  6 In 2.76

Summary:
- spin magnetization (Bohr magnetons per cell) = 0.00
- volume (Å³/cell) = 190.8
- VASP energy (eV/atom) = -5.73